1.
Material: NaCo3Se
Method: DFT, GGA-PBE
State: relaxed

a b c (Å): 4.4637 4.4637 4.4637
angles (deg): 90.00 90.00 90.00
Fractional positions:
Na  0.0000  0.0000  0.0000
Co  0.0000  0.5000  0.0000
Co  0.0000  0.0000  0.5000
Co  0.5000  0.0000  0.0000
Se  0.5000  0.5000  0.5000

Values from the calculation:
Uncorrected formation energy   9.10 eV per formula unit
Energy above the lowest structure with this stoichiometry   1.266 eV/atom

=====

2.
Material: Na2RuC
Method: DFT, GGA-PBE
State: relaxed

a b c (Å): 9.8375 9.8375 7.2124
angles (deg): 47.00 47.00 90.00
Fractional positions:
Ru  0.0000  0.0000  0.0000
Ru  0.7500  0.2500  0.5000
C  0.5000  0.5000  0.0000
C  0.2500  0.7500  0.5000
Na  0.4527  0.1250  0.2500
Na  0.2973  0.6250  0.2500
Na  0.3750  0.5473  0.7500
Na  0.8750  0.7027  0.7500

Values from the calculation:
E_form   0.776 eV per atom

=====

3.
Material: NaHf2Be2
Method: DFT, GGA-PBE
State: relaxed

a b c (Å): 7.5903 7.5903 2.9770
angles (deg): 90.00 90.00 90.00
Fractional positions:
Na  0.0000  0.0000  0.0000
Na  0.5000  0.5000  0.0000
Hf  0.1749  0.6749  0.5000
Hf  0.6749  0.8251  0.5000
Hf  0.8251  0.3251  0.5000
Hf  0.3251  0.1749  0.5000
Be  0.3919  0.8919  0.0000
Be  0.8919  0.6081  0.0000
Be  0.6081  0.1081  0.0000
Be  0.1081  0.3919  0.0000

Values from the calculation:
E_form   0.348 eV per atom

=====

4.
Material: CoSiNi
Method: DFT, GGA-PBE
State: relaxed

a b c (Å): 3.6787 5.0147 7.0640
angles (deg): 90.00 90.00 90.00
Fractional positions:
Co  0.2500  0.0403  0.2935
Co  0.2500  0.5403  0.2065
Co  0.7500  0.9597  0.7065
Co  0.7500  0.4597  0.7935
Si  0.2500  0.2092  0.6132
Si  0.2500  0.7092  0.8868
Si  0.7500  0.7908  0.3868
Si  0.7500  0.2908  0.1132
Ni  0.2500  0.1667  0.9378
Ni  0.2500  0.6667  0.5622
Ni  0.7500  0.8333  0.0622
Ni  0.7500  0.3333  0.4378

Values from the calculation:
Uncorrected formation energy   -1.48 eV per formula unit

=====

| no. | V (Å³ per atom) |
| --- | --- |
| 1 | 17.8 |
| 2 | 23.1 |
| 3 | 17.2 |
| 4 | 10.9 |